Compound: NiGeB
Source: Alexandria via LeMat-Bulk
Functional: PBE-GGA
Structure: relaxed

Cell lengths 6.8454, 3.7839, 3.7839 Å; angles 52.57, 90.00, 90.00 degrees
With the nearest neighbours (Å) after each atom.
Sites, in units of the cell vectors:
Ni  0.1388  0.2500  0.7500  4 B 2.11-2.13
Ni  0.8612  0.7500  0.2500  4 B 2.11-2.13
Ge  0.3321  0.5676  0.0676  2 B 2.46, 3 Ni 2.47-2.53
Ge  0.6679  0.0676  0.5676  2 B 2.46, 3 Ni 2.47-2.53
B  0.0000  0.2521  0.2521  2 B 1.68
B  0.0000  0.7521  0.7521  2 B 1.68

Summary:
- ΔE to the lowest computed polymorph: 41 meV per atom
- Total magnetization: 0.0 Bohr magnetons per cell
- Calculated formation energy: 0.2 eV/f.u.



Compound: CaAcLaZn
Source: Alexandria via LeMat-Bulk
Functional: PBE-GGA
Structure: relaxed

Cell lengths 3.7928, 3.7928, 9.4373 Å; angles 90.00, 90.00, 90.00 degrees
With the nearest neighbours (Å) after each atom.
Sites, in units of the cell vectors:
Ca  0.0000  0.0000  0.0000  4 Zn 3.23
Ac  0.5000  0.5000  0.3219  4 Ac 3.79, 4 La 3.86, 4 Ca 4.05
La  0.0000  0.0000  0.6165  4 Zn 3.25, 1 Ca 3.62
Zn  0.5000  0.5000  0.8102  4 Ca 3.23, 4 La 3.25

Summary:
- ΔE to the lowest computed polymorph: 0 meV per atom
- Total magnetization: 0.0 Bohr magnetons per cell
- Calculated formation energy: -0.5 eV/f.u.



Compound: CrTcPt2
Source: Alexandria via LeMat-Bulk
Functional: PBE-GGA
Structure: relaxed

Cell lengths 4.7205, 4.7205, 4.7205 Å; angles 131.23, 131.23, 71.44 degrees
With the nearest neighbours (Å) after each atom.
Sites, in units of the cell vectors:
Cr  0.0000  0.0000  0.0000  4 Tc 2.73, 8 Pt 2.73-2.76
Tc  0.7500  0.2500  0.5000  4 Cr 2.73, 8 Pt 2.73-2.76
Pt  0.2500  0.7500  0.5000  4 Cr 2.73, 4 Pt 2.73, 4 Tc 2.76
Pt  0.5000  0.5000  0.0000  4 Tc 2.73, 4 Pt 2.73, 4 Cr 2.76

Summary:
- ΔE to the lowest computed polymorph: 60 meV per atom
- Total magnetization: 1.1 Bohr magnetons per cell
- Calculated formation energy: -0.5 eV/f.u.